# SrMn3 PBE relaxed
# * Fermi-level density of states: 0.93 states/eV per atom
# * crystal system: orthorhombic
# * DFT formation energy: 0.840 eV/atom
# * total magnetization: 22.55 Bohr magnetons per cell
data_SrMn3
_chemical_formula_sum 'Sr2 Mn6'
_cell_length_a 3.340
_cell_length_b 5.028
_cell_length_c 9.906
_cell_angle_alpha 90.00
_cell_angle_beta 90.00
_cell_angle_gamma 90.00
_space_group_name_H-M_alt 'I m m m'
_space_group_IT_number 71
_space_group_name_Hall '-I 2 2'
loop_
_atom_site_label
_atom_site_type_symbol
_atom_site_fract_x
_atom_site_fract_y
_atom_site_fract_z
Sr1 Sr 0.000 0.000 0.000
Mn1 Mn 0.000 0.000 0.500
Mn2 Mn 0.000 0.500 0.220